12
Lattice="6.553 0.000 0.000 0.000 6.553 0.000 0.000 0.000 6.553" Properties=species:S:1:pos:R:3 comment="SbAsAu (PBE-GGA, optimized geometry)" density_g_cm3=9.3 raw_formation_energy_ev_per_atom=-0.03 e_tot_ev_per_cell=-48.6 volume_a3_per_atom=23.45 total_magnetization_mub_per_atom=0.0000 e_above_lowest_polymorph_kj_per_mol_atoms=0.00 pbc="T T T"
Sb 0.783 2.493 4.059
Sb 2.493 4.059 0.783
Sb 4.059 0.783 2.493
Sb 5.770 5.770 5.770
As 0.771 0.771 0.771
As 2.505 5.781 4.048
As 4.048 2.505 5.781
As 5.781 4.048 2.505
Au 0.074 6.479 3.203
Au 3.203 0.074 6.479
Au 3.350 3.350 3.350
Au 6.479 3.203 0.074



4
Lattice="2.604 -4.031 0.000 2.604 4.031 0.000 -0.008 0.000 3.205" Properties=species:S:1:pos:R:3 comment="BaBe2Co (PBE-GGA, optimized geometry)" density_g_cm3=5.3 e_tot_ev_per_cell=-11.9 volume_a3_per_atom=16.83 total_magnetization_mub_per_atom=0.0008 e_above_lowest_polymorph_kj_per_mol_atoms=99.17 ef_ev_per_atom=1.156 pbc="T T T"
Ba 0.000 0.000 0.000
Be 1.298 2.016 1.603
Be 1.298 -2.016 1.603
Co 2.604 0.000 0.000



10
Lattice="-2.016 3.787 7.472 2.016 -3.787 7.472 2.016 3.787 -7.472" Properties=species:S:1:pos:R:3 comment="Ag5GeSe4 (PBE-GGA, optimized geometry)" density_g_cm3=6.8 raw_formation_energy_ev_per_atom=-0.04 e_tot_ev_per_cell=-33.2 volume_a3_per_atom=22.81 total_magnetization_mub_per_atom=0.0000 pbc="T T T"
Ag 0.000 0.000 0.000
Ag 2.016 1.795 -2.680
Ag 2.016 1.795 2.680
Ag 0.000 1.992 4.793
Ag 0.000 1.992 10.152
Ge 0.000 3.787 0.000
Se 2.016 1.830 0.000
Se 2.016 0.000 4.640
Se 0.000 3.787 2.832
Se 0.000 1.957 7.472



4
Lattice="4.492 0.000 0.000 0.000 1.914 5.609 0.000 -1.914 5.609" Properties=species:S:1:pos:R:3 comment="YThCuAu (PBE-GGA, optimized geometry)" density_g_cm3=10.0 e_tot_ev_per_cell=-23.1 volume_a3_per_atom=24.11 total_magnetization_mub_per_atom=0.0007 e_above_lowest_polymorph_kj_per_mol_atoms=0.00 ef_ev_per_atom=-0.458 pbc="T T T"
Y 0.000 0.000 0.000
Th 2.246 0.000 8.035
Cu 0.000 0.000 3.091
Au 2.246 0.000 4.885



11
Lattice="9.534 -2.476 0.000 9.534 2.476 0.000 -1.651 0.000 6.756" Properties=species:S:1:pos:R:3 comment="Ho8Al2Bi (PBE-GGA, optimized geometry)" density_g_cm3=8.2 e_tot_ev_per_cell=-50.5 volume_a3_per_atom=28.99 total_magnetization_mub_per_atom=0.0000 ef_ev_per_atom=-0.227 pbc="T T T"
Ho 0.170 0.000 1.711
Ho 2.709 0.000 5.491
Ho 5.552 0.000 3.578
Ho 7.636 0.000 0.205
Ho 9.781 0.000 6.551
Ho 11.865 0.000 3.178
Ho 14.708 0.000 1.265
Ho 17.247 0.000 5.046
Al 3.193 0.000 1.628
Al 14.224 0.000 5.128
Bi 8.708 0.000 3.378



12
Lattice="5.190 0.000 0.000 1.570 6.020 0.000 2.208 0.952 5.810" Properties=species:S:1:pos:R:3 comment="Ac2RuRhO8 (PBE-GGA, optimized geometry)" density_g_cm3=7.2 raw_formation_energy_ev_per_atom=-1.87 e_tot_ev_per_cell=-86.9 volume_a3_per_atom=15.13 total_magnetization_mub_per_atom=0.0302 pbc="T T T"
Ac 1.284 1.253 0.908
Ac 7.684 5.720 4.902
Ru 4.484 3.486 2.905
Rh 3.699 0.476 2.905
O 3.638 5.308 2.590
O 3.932 3.640 4.703
O 2.958 2.325 2.548
O 4.943 6.553 4.884
O 4.025 0.420 0.925
O 6.009 4.648 3.262
O 5.036 3.332 1.106
O 5.330 1.664 3.219



8
Lattice="7.301 0.000 0.000 0.000 4.214 0.000 -2.429 0.000 7.719" Properties=species:S:1:pos:R:3 comment="Rb2PrSmS4 (PBE-GGA, optimized geometry)" density_g_cm3=4.1 raw_formation_energy_ev_per_atom=-1.83 e_tot_ev_per_cell=-42.5 volume_a3_per_atom=29.69 total_magnetization_mub_per_atom=0.0000 pbc="T T T"
Rb 0.000 0.000 0.000
Rb 3.651 2.107 0.000
Pr -1.214 2.107 3.859
Sm 2.436 0.000 3.859
S 0.034 0.000 5.387
S 1.251 2.107 2.346
S 3.622 2.107 5.373
S 4.838 0.000 2.332



3
Lattice="4.533 0.000 0.000 -2.266 3.926 0.000 0.000 0.000 4.083" Properties=species:S:1:pos:R:3 comment="PrTeRh (PBE-GGA, optimized geometry)" density_g_cm3=8.5 raw_formation_energy_ev_per_atom=-1.05 e_tot_ev_per_cell=-18.4 volume_a3_per_atom=24.22 total_magnetization_mub_per_atom=0.0000 pbc="T T T"
Pr 0.000 0.000 0.000
Te 0.000 2.617 2.008
Rh 2.266 1.309 2.217



11
Lattice="5.775 0.000 0.000 2.741 7.123 0.000 0.256 1.849 8.413" Properties=species:S:1:pos:R:3 comment="BeS8I2 (PBE-GGA, optimized geometry)" density_g_cm3=2.5 raw_formation_energy_ev_per_atom=0.08 e_tot_ev_per_cell=-39.0 volume_a3_per_atom=31.46 total_magnetization_mub_per_atom=0.0000 pbc="T T T"
Be 0.000 0.000 0.000
S 2.791 7.890 6.173
S 3.409 5.289 1.116
S 3.986 6.448 2.684
S 5.195 8.639 7.799
S 3.577 0.333 0.614
S 4.786 2.524 5.729
S 5.364 3.683 7.297
S 5.982 1.082 2.240
I 1.711 3.129 1.966
I 7.061 5.843 6.447



5
Lattice="5.088 0.000 0.000 0.000 5.088 0.000 0.000 0.000 4.937" Properties=species:S:1:pos:R:3 comment="VZnIn2Sn (PBE-GGA, optimized geometry)" density_g_cm3=6.0 e_tot_ev_per_cell=-16.7 volume_a3_per_atom=25.56 total_magnetization_mub_per_atom=0.6427 ef_ev_per_atom=0.635 pbc="T T T"
V 0.000 0.000 0.000
Zn 0.000 0.000 2.468
In 0.000 2.544 2.468
In 2.544 0.000 2.468
Sn 2.544 2.544 0.000